Density functional theory data (PBE) for a relaxed ZnCd2Si crystal.

For the energy relative to the lowest polymorph listed for this composition, the calculation gives 73.2 meV/atom. Its uncorrected formation energy is 296 meV per atom. As for the total energy: -1.836 eV/atom. The calculated density is 6.66 Mg/m³.

The space group is Immm (No. 71) and the conventional cell measures 2.8061, 5.4305 and 10.4099 Å, with angles of 90.00, 90.00 and 90.00 degrees. The distinct sites, in fractional coordinates, are Zn at (0.0000, 0.0000, 0.0000), Cd at (0.0000, 0.5000, 0.2549) and Si at (0.0000, 0.0000, 0.5000).